[1]
4
Lattice="-2.904 1.921 -0.045 -1.734 -2.584 1.575 2.993 4.783 11.139" Properties=species:S:1:pos:R:3 comment="SrSbCl2 PBE relaxed" polymorph_energy_mev_per_atom=0.0 raw_formation_energy_ev_per_atom=-1.33 pbc="T T T"
Sb -1.571 0.864 3.550
Cl 1.849 2.955 6.882
Cl 2.641 4.219 9.827
Sr -0.074 3.256 9.119



[2]
4
Lattice="3.696 0.000 0.000 1.848 3.201 0.000 1.848 1.067 13.447" Properties=species:S:1:pos:R:3 comment="Ca2AcEr PBE relaxed" polymorph_energy_mev_per_atom=158.0 e_form_mev_per_atom=264 pbc="T T T"
Ac 3.696 2.134 6.724
Ca 1.848 1.067 10.025
Ca 5.544 3.201 3.423
Er 0.000 0.000 0.000



[3]
5
Lattice="-0.292 5.360 -0.074 -2.687 -0.082 4.647 4.638 0.289 2.687" Properties=species:S:1:pos:R:3 comment="BaSc3Te PBE relaxed" polymorph_energy_mev_per_atom=1036.2 raw_formation_energy_ev_per_atom=1.07 pbc="T T T"
Sc -1.343 -0.041 2.323
Sc -0.146 2.680 -0.037
Sc 2.319 0.145 1.343
Ba 0.000 0.000 0.000
Te 0.830 2.783 3.630



[4]
12
Lattice="5.815 0.374 0.000 -2.244 5.378 0.000 -1.786 -2.876 4.743" Properties=species:S:1:pos:R:3 comment="Ga2SnBiO8 PBE relaxed" raw_formation_energy_ev_per_atom=-1.15 pbc="T T T"
Bi 0.000 0.000 0.000
O 4.369 0.892 1.501
O 1.446 -0.517 1.501
O 2.891 1.809 3.242
O 0.064 -1.618 3.835
O 3.264 3.536 0.908
O 0.307 2.216 0.908
O 2.924 -1.435 3.242
O -0.064 1.618 3.835
Ga 2.907 0.187 2.371
Ga 1.786 2.876 0.000
Sn -1.122 2.689 2.371



[5]
4
Lattice="4.469 -0.002 0.011 2.236 3.869 0.011 2.223 1.282 6.047" Properties=species:S:1:pos:R:3 comment="BaTeIr2 PBE relaxed" raw_formation_energy_ev_per_atom=-0.27 pbc="T T T"
Ir 6.703 3.866 1.031
Ir 2.233 1.288 1.035
Te 4.466 2.576 2.254
Ba 6.695 3.861 4.804



[6]
16
Lattice="6.206 0.000 0.000 0.000 8.782 0.000 0.000 0.000 6.755" Properties=species:S:1:pos:R:3 comment="CdSi PBE relaxed" raw_formation_energy_ev_per_atom=0.26 pbc="T T T"
Si 5.587 7.298 2.338
Si 2.484 5.875 4.417
Si 2.232 1.180 0.799
Si 0.871 7.602 4.177
Si 0.619 2.907 1.040
Si 5.335 3.211 5.956
Si 3.974 5.571 2.578
Si 3.722 1.484 5.715
Cd 4.872 1.032 1.740
Cd 0.711 7.971 0.060
Cd 3.814 5.202 6.695
Cd 5.495 3.580 3.317
Cd 4.437 7.750 5.117
Cd 1.334 5.423 1.638
Cd 1.769 3.359 5.015
Cd 2.392 0.811 3.438



| no. | magnetic moment (Bohr magnetons per cell) |
| --- | --- |
| 1 | 0.0 |
| 2 | 0.6 |
| 3 | 0.0 |
| 4 | 1.1 |
| 5 | 0.0 |
| 6 | 0.0 |